# ReWO2F (GGA+U, optimized geometry)
data_ReWO2F
_cell_length_a 4.108
_cell_length_b 4.108
_cell_length_c 4.277
_cell_angle_alpha 90.00
_cell_angle_beta 90.00
_cell_angle_gamma 90.00
_symmetry_space_group_name_H-M 'P 4/m m m'
_symmetry_Int_Tables_number 123
_symmetry_space_group_name_Hall '-P 4 2'
loop_
_atom_site_label
_atom_site_type_symbol
_atom_site_fract_x
_atom_site_fract_y
_atom_site_fract_z
Re1 Re 0.000 0.000 0.000
W1 W 0.500 0.500 0.500
O1 O 0.000 0.500 0.500
F1 F 0.500 0.500 0.000
# **ρ**: 9.69 g/cm3
# **DFT total energy**: -32.7 eV per cell